An optimized crystal structure of InTe4Pt. Source: Alexandria via LeMat-Bulk, functional PBE.

Space group   F-43m (216)
E_tot   -17.49 eV per cell
Size of the total moment   0.0000 μB per atom

a b c (Å): 6.2856 6.2856 6.2856
angles (deg): 60.00 60.00 60.00
Atoms (fractional coordinates):
In  0.0000  0.0000  0.0000
Te  0.3773  0.3773  0.3773
Te  0.3773  0.3773  0.8680
Te  0.3773  0.8680  0.3773
Te  0.8680  0.3773  0.3773
Pt  0.7500  0.7500  0.7500